No. 1
Compound: LaAgF2
Source: Alexandria
Functional: GGA-PBE
Structure: relaxed

Cell lengths 9.6485, 9.6485, 9.6485 Å; angles 20.95, 20.95, 20.95 degrees
With the nearest neighbours (Å) after each atom.
Fractional coordinates of all 4 atoms:
F 0.8825 0.8825 0.8825  3 La 2.46
F 0.1175 0.1175 0.1175  3 La 2.46
La 0.5000 0.5000 0.5000  6 F 2.46
Ag 0.0000 0.0000 0.0000  2 F 3.32, 6 Ag 3.51

Summary:
* distance to the lowest polymorph of the same formula: 210 meV/atom


No. 2
Compound: HfTi2CuN
Source: Alexandria
Functional: GGA-PBE
Structure: relaxed

Cell lengths 4.0922, 4.0922, 4.3624 Å; angles 90.00, 90.00, 90.00 degrees
With the nearest neighbours (Å) after each atom.
Fractional coordinates of all 5 atoms:
N 0.0000 0.0000 0.0000  4 Ti 2.05, 2 Hf 2.18
Ti 0.5000 0.0000 0.0000  2 N 2.05
Hf 0.0000 0.0000 0.5000  2 N 2.18
Ti 0.0000 0.5000 0.0000  2 N 2.05
Cu 0.5000 0.5000 0.5000  4 Hf 2.89, 8 Ti 2.99

Summary:
* uncorrected energy: -8.413 eV per atom


No. 3
Compound: La2CrW
Source: Alexandria
Functional: GGA-PBE
Structure: relaxed

Cell lengths 6.1998, 6.1998, 5.1707 Å; angles 65.41, 65.41, 32.72 degrees
With the nearest neighbours (Å) after each atom.
Fractional coordinates of all 4 atoms:
Cr 0.2017 0.2017 0.2983  2 W 2.37
La 0.9854 0.9854 0.0144  4 W 3.20, 6 La 3.43-3.54, 4 Cr 3.47-3.51
La 0.7605 0.7605 0.7398  4 Cr 3.18, 2 W 3.41-3.42, 6 La 3.43-3.54
W 0.5524 0.5524 0.4475  2 Cr 2.37

Summary:
* DFT formation energy: 0.513 eV per atom
* distance to the lowest polymorph of the same formula: 116 meV/atom


No. 4
Compound: Zn4CrNi
Source: Alexandria
Functional: GGA-PBE
Structure: relaxed

Cell lengths 4.9209, 4.9209, 4.9209 Å; angles 60.00, 60.00, 60.00 degrees
With the nearest neighbours (Å) after each atom.
Fractional coordinates of all 6 atoms:
Cr 0.2500 0.2500 0.2500  12 Zn 2.89, 4 Ni 3.01
Zn 0.1240 0.6253 0.6253  6 Zn 2.45-2.47
Ni 0.0000 0.0000 0.0000  12 Zn 2.88, 4 Cr 3.01
Zn 0.6253 0.6253 0.6253  6 Zn 2.45-2.47
Zn 0.6253 0.1240 0.6253  6 Zn 2.45-2.47
Zn 0.6253 0.6253 0.1240  6 Zn 2.45-2.47

Summary:
* DFT formation energy: 0.090 eV per atom


In order of appearance, calculated volume = 25.135, 14.610, 24.204, 14.043 Å³/atom.